A plane-wave DFT calculation with PBE was carried out for a geometry-optimized Nd4DyTm7 structure.

Cell: 5.858 11.633 6.708 Å, 83.56 64.11 75.42°
Fractional positions:
1 Tm 0.500 0.000 0.000
2 Tm 0.212 0.076 0.500
3 Tm 0.368 0.493 0.771
4 Tm 0.071 0.692 0.166
5 Nd 0.640 0.223 0.498
6 Tm 0.632 0.507 0.229
7 Tm 0.929 0.308 0.834
8 Nd 0.360 0.777 0.502
9 Nd 0.783 0.662 0.772
10 Tm 0.788 0.924 0.500
11 Nd 0.217 0.338 0.228
12 Dy 0.000 0.000 0.000

Values from the calculation:
Mass density ... 8.02 g cm⁻³
Total energy ... -4.3080 eV per atom
Energy relative to the elements ... 0.273 eV per atom
Energy relative to the lowest polymorph listed for this composition ... 2.210 eV per formula unit
V ... 33.2 Å³/atom
Total magnetic moment ... 0.01 μB per cell